First-principles (PBE with a Hubbard U) data for crystalline BaZnFeF2 at its relaxed geometry, as listed in Alexandria.

The calculation puts the total energy at -16.6 eV/cell.

The space group is P4/mmm (No. 123) and the conventional cell measures 4.445, 4.445 and 5.610 Å, with angles of 90.00, 90.00 and 90.00 degrees. The distinct sites, in fractional coordinates, are Ba at (0.000, 0.000, 0.000), Zn at (0.500, 0.500, 0.000), Fe at (0.000, 0.000, 0.500) and F at (0.000, 0.500, 0.500).